DFT (GGA-PBE) results for a relaxed Tm3Ag4Pd2 crystal.

The space group is C2/c (No. 15) and the conventional cell measures 13.860, 10.184 and 5.233 Å, with angles of 90.00, 100.03 and 90.00 degrees. The distinct sites, in fractional coordinates, are Tm at (0.000, 0.113, 0.250), Tm at (0.168, 0.368, 0.076), Ag at (0.055, 0.372, 0.527), Ag at (0.221, 0.119, 0.375) and Pd at (0.111, 0.129, 0.817).

The calculation puts the energy of formation at -469.2 meV per atom. Its density of states at the Fermi level is 14.9 states/eV/cell. The calculation puts the total DFT energy (no corrections) at -157.710 eV for the cell shown.

DFT (GGA-PBE) results for a relaxed Pr2Ag2Sn3 crystal.

The space group is Cmcm (No. 63) and the conventional cell measures 4.753, 20.349 and 7.531 Å, with angles of 90.00, 90.00 and 90.00 degrees. The distinct sites, in fractional coordinates, are Pr at (0.000, 0.047, 0.250), Pr at (0.000, 0.157, 0.750), Ag at (0.000, 0.303, 0.553), Sn at (0.000, 0.217, 0.250) and Sn at (0.000, 0.433, 0.057).

The calculation puts the energy of formation at -545.5 meV per atom. Its density of states at the Fermi level is 6.7 states/eV/cell. The calculation puts the total DFT energy (no corrections) at -124.354 eV for the cell shown.

DFT (GGA-PBE) results for a relaxed K2ZnSi crystal.

The space group is P4/mmm (No. 123) and the conventional cell measures 6.185, 6.185 and 3.225 Å, with angles of 90.00, 90.00 and 90.00 degrees. The distinct sites, in fractional coordinates, are K at (0.000, 0.500, 0.000), Zn at (0.000, 0.000, 0.500) and Si at (0.500, 0.500, 0.500).

Its density of states at the Fermi level is 3.4 states/eV/cell. The calculation puts the total DFT energy (no corrections) at -7.154 eV for the cell shown. As for the formation energy without anion corrections: 0.434 eV/atom.

DFT (GGA-PBE) results for a relaxed InPbCl crystal.

The space group is P3m1 (No. 156) and the conventional cell measures 5.3537, 5.3537 and 3.3879 Å, with angles of 90.00, 90.00 and 120.00 degrees. The distinct sites, in fractional coordinates, are In at (0.0000, 0.0000, 0.0000), Pb at (0.6667, 0.3333, 0.4964) and Cl at (0.3333, 0.6667, 0.4877).

Its density of states at the Fermi level is 1.6 states/eV/cell. The distance to the lowest polymorph of the same formula comes out at 60 meV/atom. The calculation puts the total DFT energy (no corrections) at -9.203 eV for the cell shown. As for the formation energy without anion corrections: -0.303 eV/atom.

The lowest total DFT energy (no corrections) belongs to which entry?
Tm3Ag4Pd2

The lowest total DFT energy (no corrections) belongs to which entry?
Tm3Ag4Pd2

What did the third record say?
DFT (GGA-PBE) results for a relaxed K2ZnSi crystal.

The space group is P4/mmm (No. 123) and the conventional cell measures 6.185, 6.185 and 3.225 Å, with angles of 90.00, 90.00 and 90.00 degrees. The distinct sites, in fractional coordinates, are K at (0.000, 0.500, 0.000), Zn at (0.000, 0.000, 0.500) and Si at (0.500, 0.500, 0.500).

Its density of states at the Fermi level is 3.4 states/eV/cell. The calculation puts the total DFT energy (no corrections) at -7.154 eV for the cell shown. As for the formation energy without anion corrections: 0.434 eV/atom.